a) ! TeF, optimized geometry, DFT GGA-PBE; values from VASP
! total moment	0.00	μB per formula unit
! N(E_F)	0.8	states/eV/f.u.
&SYSTEM
  ibrav = 0, nat = 4, ntyp = 2
/
ATOMIC_SPECIES
Te 127.60 Te.upf
F 19.00 F.upf
CELL_PARAMETERS angstrom
4.297 0.000 0.000
0.000 4.402 0.000
-0.009 0.000 4.737
ATOMIC_POSITIONS crystal
Te 0.250 0.250 0.067
Te 0.750 0.750 0.933
F 0.249 0.250 0.636
F 0.751 0.750 0.364

---

b) ! TeF, optimized geometry, DFT GGA-PBE; values from VASP
! total moment	0.00	μB per formula unit
! N(E_F)	1.0	states/eV/f.u.
&SYSTEM
  ibrav = 0, nat = 8, ntyp = 2
/
ATOMIC_SPECIES
Te 127.60 Te.upf
F 19.00 F.upf
CELL_PARAMETERS angstrom
7.057 0.000 0.000
0.000 7.057 0.000
0.000 0.000 4.457
ATOMIC_POSITIONS crystal
Te 0.137 0.137 0.000
Te 0.363 0.637 0.500
Te 0.637 0.363 0.500
Te 0.863 0.863 0.000
F 0.136 0.136 0.500
F 0.364 0.636 0.000
F 0.636 0.364 0.000
F 0.864 0.864 0.500

---

Stability check: which of them is most stable? a).